# TbVP

Crystalline TbVP at its relaxed geometry (PBE, Alexandria via LeMat-Bulk).

Cell: 6.6163 6.6163 7.5862 Å, 112.08 112.08 97.94°
Atoms (fractional coordinates):
Tb (0.5917, 0.0917, 0.1835)
Tb (0.3417, 0.3417, 0.6835)
Tb (0.6583, 0.6583, 0.3165)
Tb (0.9083, 0.4083, 0.8165)
V (0.1250, 0.3750, 0.2500)
V (0.6250, 0.8750, 0.7500)
V (0.1250, 0.8750, 0.7500)
V (0.1250, 0.8750, 0.2500)
P (0.2733, 0.2733, 0.0000)
P (0.7267, 0.7267, 0.0000)
P (0.9767, 0.4767, 0.5000)
P (0.5233, 0.0233, 0.5000)

Calculated values
For the density of states at the Fermi level, the calculation gives 1.2830 states/eV/atom. For the formation energy from the elements, the calculation gives -0.2547 eV/atom. The value obtained for the calculated total energy is -19.9 eV per formula unit.